The following is a DFT calculation (PBE with a Hubbard U) of a geometry-optimized SrEr4Mn3O12 structure.

Cell lengths 7.046, 7.046, 7.046 Å; angles 109.47, 109.47, 109.47 degrees
Site moments in Bohr magnetons follow the coordinates.
Positions (direct):
Sr  0.000  0.000  0.000  0.01
Er  0.500  0.000  0.000  0.02
Er  0.500  0.500  0.500  0.02
Er  0.000  0.500  0.000  0.02
Er  0.000  0.000  0.500  0.02
Mn  0.000  0.500  0.500  3.89
Mn  0.500  0.500  0.000  3.89
Mn  0.500  0.000  0.500  3.89
O  0.322  0.841  0.163  -0.09
O  0.678  0.159  0.837  -0.09
O  0.678  0.841  0.519  -0.09
O  0.837  0.678  0.159  -0.09
O  0.841  0.163  0.322  -0.09
O  0.159  0.481  0.322  -0.09
O  0.481  0.322  0.159  -0.09
O  0.159  0.837  0.678  -0.09
O  0.322  0.159  0.481  -0.09
O  0.163  0.322  0.841  -0.09
O  0.841  0.519  0.678  -0.09
O  0.519  0.678  0.841  -0.09

Values from the calculation:
- spin magnetization (μB per formula unit) = 10.91
- total DFT energy (no corrections) (Ry per atom) = -0.566